# 1
CaPm3Nd4Se8: optimized geometry, PBE-GGA.

Results
SG ... No. 166
Formation energy from raw total energies ... -1.849 eV/atom

Lattice parameters (Å, degrees): 8.4218 8.4341 8.4218 119.95 120.00 90.00
With the nearest neighbours (Å) after each atom.
Fractional coordinates of all 16 atoms:
Se: 0.7535 0.2555 0.0020  1 Ca 2.94, 2 Pm 2.97, 3 Nd 2.99-3.02
Se: 0.2465 0.7445 0.9980  1 Ca 2.94, 2 Pm 2.97, 3 Nd 2.99-3.02
Se: 0.7516 0.7445 0.9980  1 Ca 2.94, 2 Pm 2.97, 3 Nd 2.99-3.02
Pm: 0.5000 0.5000 0.5000  6 Se 2.97
Nd: 0.5000 0.0000 0.0000  6 Se 3.02
Pm: 0.0000 0.5000 0.5000  6 Se 2.97
Se: 0.7535 0.2555 0.5070  1 Ca 2.94, 2 Pm 2.97, 3 Nd 2.99-3.02
Se: 0.2510 0.2530 0.5020  3 Pm 2.97, 3 Nd 2.99
Se: 0.7490 0.7470 0.4980  3 Pm 2.97, 3 Nd 2.99
Nd: 0.5000 0.0000 0.5000  6 Se 2.99
Pm: 0.5000 0.5000 0.0000  6 Se 2.97
Se: 0.2465 0.7445 0.4930  1 Ca 2.94, 2 Pm 2.97, 3 Nd 2.99-3.02
Nd: 0.0000 0.0000 0.5000  6 Se 2.99
Ca: 0.0000 0.5000 0.0000  6 Se 2.94
Nd: 0.0000 0.0000 0.0000  6 Se 2.99
Se: 0.2484 0.2555 0.0020  1 Ca 2.94, 2 Pm 2.97, 3 Nd 2.99-3.02

---

# 2
HfZrTcMo: optimized geometry, PBE-GGA.

Results
SG ... No. 216
E_form ... -16.33 kJ per mole of atoms

Lattice parameters (Å, degrees): 4.6729 4.6729 4.6729 60.00 60.00 60.00
With the nearest neighbours (Å) after each atom.
Fractional coordinates of all 4 atoms:
Mo: 0.2500 0.2500 0.2500  4 Zr 2.86, 4 Hf 2.86
Hf: 0.0000 0.0000 0.0000  4 Mo 2.86, 4 Tc 2.86
Zr: 0.5000 0.5000 0.5000  4 Mo 2.86, 4 Tc 2.86
Tc: 0.7500 0.7500 0.7500  4 Hf 2.86, 4 Zr 2.86

---

# 3
LaHo2C: optimized geometry, PBE-GGA.

Results
SG ... No. 164
E_form ... -19.20 kJ per mole of atoms

Lattice parameters (Å, degrees): 3.5893 3.5894 9.3353 89.99 90.00 120.00
With the nearest neighbours (Å) after each atom.
Fractional coordinates of all 4 atoms:
Ho: 0.6667 0.3334 0.3560  3 C 2.47
C: 0.0000 0.0000 0.5000  6 Ho 2.47
La: 0.0000 0.0000 0.0000  6 La 3.59, 6 Ho 3.92
Ho: 0.3333 0.6666 0.6440  3 C 2.47

---

# 4
LiSm4Dy3S8: optimized geometry, PBE-GGA.

Results
SG ... No. 166
Formation energy from raw total energies ... -1.971 eV/atom

Lattice parameters (Å, degrees): 7.8737 7.9086 7.8743 119.85 120.00 90.00
With the nearest neighbours (Å) after each atom.
Fractional coordinates of all 16 atoms:
Dy: 0.5000 0.5000 0.0000  6 S 2.75-2.76
Sm: 0.0000 0.0000 0.5000  6 S 2.83
Dy: 0.0000 0.5000 0.5000  6 S 2.75-2.76
Sm: 0.5000 0.0000 0.0000  6 S 2.87
S: 0.7572 0.2636 0.0064  1 Li 2.71, 2 Dy 2.76, 3 Sm 2.83-2.87
Dy: 0.5000 0.5000 0.5000  6 S 2.75-2.76
S: 0.7508 0.7364 0.9936  1 Li 2.71, 2 Dy 2.76, 3 Sm 2.83-2.87
S: 0.2492 0.2636 0.0064  1 Li 2.71, 2 Dy 2.76, 3 Sm 2.83-2.87
S: 0.7571 0.2635 0.5142  1 Li 2.71, 2 Dy 2.76, 3 Sm 2.83-2.87
Sm: 0.0000 0.0000 0.0000  6 S 2.83
S: 0.7468 0.7403 0.4936  3 Dy 2.75, 3 Sm 2.83
Li: 0.0000 0.5000 0.0000  6 S 2.71
S: 0.2532 0.2597 0.5064  3 Dy 2.75, 3 Sm 2.83
Sm: 0.5000 0.0000 0.5000  6 S 2.83
S: 0.2429 0.7365 0.4858  1 Li 2.71, 2 Dy 2.76, 3 Sm 2.83-2.87
S: 0.2428 0.7364 0.9936  1 Li 2.71, 2 Dy 2.76, 3 Sm 2.83-2.87

---

# 5
Si2PbAu: optimized geometry, PBE-GGA.

Results
SG ... No. 216
Formation energy from raw total energies ... 0.513 eV/atom

Lattice parameters (Å, degrees): 4.8840 4.8840 4.8840 60.00 60.00 60.00
With the nearest neighbours (Å) after each atom.
Fractional coordinates of all 4 atoms:
Pb: 0.2500 0.2500 0.2500  4 Si 2.99, 4 Au 2.99
Si: 0.7500 0.7500 0.7500  4 Si 2.99, 4 Au 2.99
Au: 0.5000 0.5000 0.5000  4 Si 2.99, 4 Pb 2.99
Si: 0.0000 0.0000 0.0000  4 Pb 2.99, 4 Si 2.99

---

# 6
Cu2H2Ir: optimized geometry, PBE-GGA.

Results
E_tot ... -4.637 eV/atom
SG ... No. 123

Lattice parameters (Å, degrees): 3.6176 3.6176 3.8368 90.00 90.00 90.00
With the nearest neighbours (Å) after each atom.
Fractional coordinates of all 5 atoms:
H: 0.5000 0.0000 0.0000  2 Ir 1.81, 2 Cu 1.92
Cu: 0.5000 0.0000 0.5000  2 H 1.92
Cu: 0.0000 0.5000 0.5000  2 H 1.92
Ir: 0.0000 0.0000 0.0000  4 H 1.81
H: 0.0000 0.5000 0.0000  2 Ir 1.81, 2 Cu 1.92

---

# 7
TaHg2Os: optimized geometry, PBE-GGA.

Results
SG ... No. 12
E_form ... 53.28 kJ per mole of atoms

Lattice parameters (Å, degrees): 5.2224 5.2224 4.6758 78.50 78.50 36.03
With the nearest neighbours (Å) after each atom.
Fractional coordinates of all 4 atoms:
Hg: 0.0026 0.0026 0.9971  4 Hg 2.83-2.86, 3 Ta 2.94-3.01, 3 Os 2.97
Os: 0.7500 0.7500 0.7500  4 Ta 2.84, 6 Hg 2.97
Ta: 0.2500 0.2500 0.2500  4 Os 2.84, 6 Hg 2.94-3.01
Hg: 0.4974 0.4974 0.5029  4 Hg 2.83-2.86, 3 Ta 2.94-3.01, 3 Os 2.97

---

# 8
Tm3Zn2Sn: optimized geometry, PBE-GGA.

Results
SG ... No. 164
E_form ... -42.30 kJ per mole of atoms

Lattice parameters (Å, degrees): 5.0650 5.0650 6.2643 90.00 90.00 120.00
With the nearest neighbours (Å) after each atom.
Fractional coordinates of all 6 atoms:
Tm: 0.3333 0.6667 0.1754  4 Zn 2.94-3.13, 3 Sn 3.12
Tm: 0.6667 0.3333 0.8246  4 Zn 2.94-3.13, 3 Sn 3.12
Zn: 0.3333 0.6667 0.6452  7 Tm 2.94-3.13
Zn: 0.6667 0.3333 0.3548  7 Tm 2.94-3.13
Sn: 0.0000 0.0000 0.0000  8 Tm 3.12-3.13
Tm: 0.0000 0.0000 0.5000  6 Zn 3.06, 2 Sn 3.13

---

# 9
LiCa2Zn: optimized geometry, PBE-GGA.

Results
SG ... No. 71
E_form ... 34.54 kJ per mole of atoms

Lattice parameters (Å, degrees): 7.4196 7.4196 7.4196 151.63 56.52 132.20
With the nearest neighbours (Å) after each atom.
Fractional coordinates of all 4 atoms:
Li: 0.0000 0.0000 0.0000  4 Zn 3.51, 2 Ca 3.59, 2 Li 3.64
Ca: 0.2743 0.0000 0.2743  1 Zn 2.95
Zn: 0.5000 0.0000 0.5000  2 Ca 2.95
Ca: 0.7257 0.0000 0.7257  1 Zn 2.95

---

# 10
TiTlNi2Te: optimized geometry, PBE-GGA.

Results
SG ... No. 123
Formation energy from raw total energies ... 1.277 eV/atom

Lattice parameters (Å, degrees): 4.6827 5.7329 4.6827 90.00 90.00 90.00
With the nearest neighbours (Å) after each atom.
Fractional coordinates of all 5 atoms:
Ni: 0.5000 0.0000 0.0000  2 Tl 2.34
Ni: 0.0000 0.0000 0.5000  2 Tl 2.34
Tl: 0.0000 0.0000 0.0000  4 Ni 2.34
Ti: 0.5000 0.5000 0.5000  4 Te 3.31, 8 Ni 3.70
Te: 0.0000 0.5000 0.0000  2 Tl 2.87

---

# 11
AcU2Te8: optimized geometry, PBE-GGA.

Results
SG ... No. 12
Formation energy from raw total energies ... -0.631 eV/atom

Lattice parameters (Å, degrees): 5.7909 8.2036 8.2036 113.60 94.48 94.48
With the nearest neighbours (Å) after each atom.
Fractional coordinates of all 11 atoms:
U: 0.0000 0.3076 0.6924  8 Te 2.98-3.24
Te: 0.6898 0.4074 0.4074  1 Te 2.94, 2 U 3.24
Te: 0.5000 0.2509 0.7491  2 U 3.00
Te: 0.0946 0.0776 0.3225  2 U 2.98-3.12
Te: 0.9054 0.6775 0.9224  2 U 2.98-3.12
Te: 0.0946 0.3225 0.0776  2 U 2.98-3.12
Te: 0.5000 0.7491 0.2509  2 U 3.00
Te: 0.3102 0.5926 0.5926  1 Te 2.94, 2 U 3.24
Te: 0.9054 0.9224 0.6775  2 U 2.98-3.12
Ac: 0.5000 0.0000 0.0000  8 Te 3.44-3.67
U: 0.0000 0.6924 0.3076  8 Te 2.98-3.24

---

# 12
Nd2ScSn: optimized geometry, PBE-GGA.

Results
SG ... No. 225
E_form ... -25.09 kJ per mole of atoms

Lattice parameters (Å, degrees): 5.4514 5.4514 5.4514 60.00 60.00 60.00
With the nearest neighbours (Å) after each atom.
Fractional coordinates of all 4 atoms:
Nd: 0.2500 0.2500 0.2500  4 Sc 3.34, 4 Sn 3.34
Sc: 0.0000 0.0000 0.0000  8 Nd 3.34
Sn: 0.5000 0.5000 0.5000  8 Nd 3.34
Nd: 0.7500 0.7500 0.7500  4 Sn 3.34, 4 Sc 3.34

---

What did the first record say?
CaPm3Nd4Se8: optimized geometry, PBE-GGA.

Results
SG ... No. 166
Formation energy from raw total energies ... -1.849 eV/atom

Lattice parameters (Å, degrees): 8.4218 8.4341 8.4218 119.95 120.00 90.00
With the nearest neighbours (Å) after each atom.
Fractional coordinates of all 16 atoms:
Se: 0.7535 0.2555 0.0020  1 Ca 2.94, 2 Pm 2.97, 3 Nd 2.99-3.02
Se: 0.2465 0.7445 0.9980  1 Ca 2.94, 2 Pm 2.97, 3 Nd 2.99-3.02
Se: 0.7516 0.7445 0.9980  1 Ca 2.94, 2 Pm 2.97, 3 Nd 2.99-3.02
Pm: 0.5000 0.5000 0.5000  6 Se 2.97
Nd: 0.5000 0.0000 0.0000  6 Se 3.02
Pm: 0.0000 0.5000 0.5000  6 Se 2.97
Se: 0.7535 0.2555 0.5070  1 Ca 2.94, 2 Pm 2.97, 3 Nd 2.99-3.02
Se: 0.2510 0.2530 0.5020  3 Pm 2.97, 3 Nd 2.99
Se: 0.7490 0.7470 0.4980  3 Pm 2.97, 3 Nd 2.99
Nd: 0.5000 0.0000 0.5000  6 Se 2.99
Pm: 0.5000 0.5000 0.0000  6 Se 2.97
Se: 0.2465 0.7445 0.4930  1 Ca 2.94, 2 Pm 2.97, 3 Nd 2.99-3.02
Nd: 0.0000 0.0000 0.5000  6 Se 2.99
Ca: 0.0000 0.5000 0.0000  6 Se 2.94
Nd: 0.0000 0.0000 0.0000  6 Se 2.99
Se: 0.2484 0.2555 0.0020  1 Ca 2.94, 2 Pm 2.97, 3 Nd 2.99-3.02